This record from Alexandria describes ErTm7Co2 after structural relaxation. The functional is PBE.

Lattice parameters (Å, degrees): 5.0439 7.9819 7.9819 114.84 90.00 90.00
Atoms (fractional coordinates):
Tm 0.5000 0.3287 0.0585
Tm 0.5000 0.6713 0.9415
Co 0.5000 0.2947 0.7053
Tm 0.5000 0.9415 0.6713
Co 0.5000 0.7053 0.2947
Tm 0.0000 0.2976 0.7024
Tm 0.5000 0.0585 0.3287
Tm 0.0000 0.7024 0.2976
Tm 0.5000 0.5000 0.5000
Er 0.0000 0.0000 0.0000


This record from Alexandria describes Er3TmCo after structural relaxation. The functional is PBE.

ΔE to the lowest computed polymorph (meV/atom): 48

Lattice parameters (Å, degrees): 5.2105 5.2105 5.2105 90.00 90.00 90.00
Atoms (fractional coordinates):
Er 0.0000 0.5000 0.0000
Er 0.0000 0.0000 0.5000
Tm 0.5000 0.5000 0.5000
Co 0.0000 0.0000 0.0000
Er 0.5000 0.0000 0.0000


This record from Alexandria describes Er3TmCo8 after structural relaxation. The functional is PBE.

Lattice parameters (Å, degrees): 5.0323 5.0323 8.7221 73.23 73.23 60.00
Atoms (fractional coordinates):
Co 0.9374 0.9374 0.6870
Co 0.4381 0.9374 0.6870
Co 0.9374 0.4381 0.6870
Co 0.4374 0.4374 0.1880
Co 0.1875 0.1875 0.4374
Tm 0.8750 0.8750 0.3751
Er 0.9999 0.9999 0.0002
Er 0.3750 0.3750 0.8750
Er 0.5001 0.5001 0.4998
Co 0.4374 0.9371 0.1880
Co 0.6875 0.6875 0.9375
Co 0.9371 0.4374 0.1880


no.,calculated formation energy (eV/atom),VASP energy (eV per atom)
1,0.07,-4.94
2,-0.01,-5.06
3,-0.25,-6.50